(1)
LaGaNi2P, optimized geometry, DFT PBE; SG = P4/nmm; size of the total moment = 0.0 μB per cell; E_tot = -57.64 eV per cell
1.0
4.098 0.000 0.000
0.000 4.098 0.000
0.000 0.000 9.721
La Ga Ni P
2 2 4 2
direct
0.250 0.250 0.236 La
0.750 0.750 0.764 La
0.250 0.750 0.500 Ga
0.750 0.250 0.500 Ga
0.250 0.250 0.643 Ni
0.250 0.750 0.000 Ni
0.750 0.250 0.000 Ni
0.750 0.750 0.357 Ni
0.250 0.250 0.876 P
0.750 0.750 0.124 P

(2)
Nb4AuC2S, optimized geometry, DFT PBE; SG = P-6m2; size of the total moment = 0.0 μB per cell; E_tot = -70.94 eV per cell
1.0
3.264 0.000 0.000
-1.632 2.827 0.000
0.000 0.000 12.656
Nb Au C S
4 1 2 1
direct
0.000 0.000 0.141 Nb
0.000 0.000 0.859 Nb
0.667 0.333 0.323 Nb
0.667 0.333 0.677 Nb
0.000 0.000 0.500 Au
0.333 0.667 0.237 C
0.333 0.667 0.763 C
0.667 0.333 0.000 S

(3)
ZrZn2, optimized geometry, DFT PBE; energy of formation from the pure elements = -0.1970 eV per atom; SG = Cmcm; size of the total moment = 0.1 μB per cell
1.0
10.489 0.000 0.000
0.000 4.390 0.000
0.000 0.000 4.372
Zr Zn
4 8
direct
0.000 0.249 0.250 Zr
0.000 0.751 0.750 Zr
0.500 0.251 0.750 Zr
0.500 0.749 0.250 Zr
0.182 0.254 0.750 Zn
0.182 0.746 0.250 Zn
0.318 0.246 0.250 Zn
0.318 0.754 0.750 Zn
0.682 0.246 0.250 Zn
0.682 0.754 0.750 Zn
0.818 0.254 0.750 Zn
0.818 0.746 0.250 Zn

(4)
AcDyZr, optimized geometry, DFT PBE; energy of formation from the pure elements = 1.0999 eV per atom; SG = F-43m; size of the total moment = 6.2 μB per cell
1.0
7.645 0.000 0.000
0.000 7.645 0.000
0.000 0.000 7.645
Ac Dy Zr
4 4 4
direct
0.000 0.000 0.000 Ac
0.000 0.500 0.500 Ac
0.500 0.000 0.500 Ac
0.500 0.500 0.000 Ac
0.250 0.250 0.750 Dy
0.250 0.750 0.250 Dy
0.750 0.250 0.250 Dy
0.750 0.750 0.750 Dy
0.250 0.250 0.250 Zr
0.250 0.750 0.750 Zr
0.750 0.250 0.750 Zr
0.750 0.750 0.250 Zr

(5)
Cu31Te3, optimized geometry, DFT PBE; SG = P-1; E_tot = -247.84 eV per cell
1.0
4.376 0.000 0.000
-0.090 13.383 0.000
-0.702 -0.232 16.827
Cu Te
62 6
direct
0.042 0.474 0.197 Cu
0.062 0.975 0.203 Cu
0.063 0.407 0.343 Cu
0.068 0.906 0.347 Cu
0.082 0.339 0.488 Cu
0.082 0.838 0.488 Cu
0.097 0.771 0.631 Cu
0.100 0.272 0.632 Cu
0.106 0.704 0.773 Cu
0.111 0.207 0.774 Cu
0.216 0.153 0.177 Cu
0.219 0.652 0.179 Cu
0.226 0.585 0.322 Cu
0.231 0.084 0.321 Cu
0.244 0.516 0.464 Cu
0.247 0.017 0.465 Cu
0.261 0.949 0.607 Cu
0.265 0.449 0.607 Cu
0.277 0.382 0.751 Cu
0.277 0.882 0.749 Cu
0.382 0.829 0.156 Cu
0.387 0.333 0.155 Cu
0.394 0.762 0.298 Cu
0.396 0.263 0.299 Cu
0.409 0.195 0.440 Cu
0.409 0.695 0.442 Cu
0.425 0.128 0.583 Cu
0.426 0.627 0.584 Cu
0.436 0.060 0.725 Cu
0.445 0.559 0.727 Cu
0.445 0.991 0.868 Cu
0.555 0.009 0.132 Cu
0.555 0.441 0.273 Cu
0.564 0.940 0.275 Cu
0.574 0.373 0.416 Cu
0.575 0.872 0.417 Cu
0.591 0.305 0.558 Cu
0.591 0.805 0.560 Cu
0.604 0.737 0.701 Cu
0.606 0.238 0.702 Cu
0.613 0.667 0.845 Cu
0.618 0.171 0.844 Cu
0.723 0.118 0.251 Cu
0.723 0.618 0.249 Cu
0.735 0.551 0.393 Cu
0.739 0.051 0.393 Cu
0.753 0.983 0.535 Cu
0.756 0.484 0.536 Cu
0.769 0.916 0.679 Cu
0.774 0.415 0.678 Cu
0.781 0.348 0.821 Cu
0.784 0.847 0.823 Cu
0.889 0.793 0.226 Cu
0.894 0.296 0.227 Cu
0.900 0.728 0.368 Cu
0.903 0.229 0.369 Cu
0.918 0.162 0.512 Cu
0.918 0.661 0.512 Cu
0.932 0.094 0.653 Cu
0.937 0.593 0.657 Cu
0.938 0.025 0.797 Cu
0.958 0.526 0.803 Cu
0.135 0.142 0.925 Te
0.297 0.810 0.910 Te
0.466 0.487 0.891 Te
0.534 0.513 0.109 Te
0.703 0.190 0.090 Te
0.865 0.858 0.075 Te

(6)
MgPd, optimized geometry, DFT PBE; SG = Amm2; E_tot = -38.95 eV per cell
1.0
4.672 0.000 0.000
0.000 7.227 2.441
0.000 -7.227 2.441
Mg Pd
5 5
direct
0.000 0.000 0.000 Mg
0.000 0.169 0.779 Mg
0.000 0.779 0.169 Mg
0.500 0.177 0.547 Mg
0.500 0.547 0.177 Mg
0.000 0.387 0.596 Pd
0.000 0.596 0.387 Pd
0.500 0.351 0.351 Pd
0.500 0.750 0.962 Pd
0.500 0.962 0.750 Pd

(7)
PaAu, optimized geometry, DFT PBE; energy of formation from the pure elements = 0.6810 eV per atom; SG = F-43m; size of the total moment = 7.7 μB per cell
1.0
6.521 0.000 0.000
0.000 6.521 0.000
0.000 0.000 6.521
Pa Au
4 4
direct
0.000 0.000 0.000 Pa
0.000 0.500 0.500 Pa
0.500 0.000 0.500 Pa
0.500 0.500 0.000 Pa
0.250 0.250 0.250 Au
0.250 0.750 0.750 Au
0.750 0.250 0.750 Au
0.750 0.750 0.250 Au

(8)
RbNdHg3S4, optimized geometry, DFT PBE; SG = P-43m; size of the total moment = 0.0 μB per cell; E_tot = -28.79 eV per cell
1.0
6.828 0.000 0.000
0.000 6.828 0.000
0.000 0.000 6.828
Rb Nd Hg S
1 1 3 4
direct
0.000 0.000 0.000 Rb
0.500 0.500 0.500 Nd
0.000 0.500 0.500 Hg
0.500 0.000 0.500 Hg
0.500 0.500 0.000 Hg
0.275 0.275 0.275 S
0.275 0.725 0.725 S
0.725 0.275 0.725 S
0.725 0.725 0.275 S

Number 1: theoretical density 7.26 g/cm3. Number 2: theoretical density 8.88 g/cm3. Number 3: theoretical density 7.33 g/cm3. Number 4: theoretical density 7.15 g/cm3. Number 5: theoretical density 7.93 g/cm3. Number 6: theoretical density 6.58 g/cm3. Number 7: theoretical density 10.25 g/cm3. Number 8: theoretical density 5.01 g/cm3.